Entry 1:
Below is an optimized crystal structure of Sr2Mg, with properties calculated at the PBE level. Values from VASP.

Quantum ESPRESSO input file:
```
&SYSTEM
  ibrav = 0, nat = 12, ntyp = 2
/
ATOMIC_SPECIES
Sr 87.62 Sr.upf
Mg 24.30 Mg.upf
ATOMIC_POSITIONS angstrom
Sr 3.868 1.782 6.344
Sr 7.736 2.862 7.062
Sr 7.736 1.397 2.832
Sr 3.868 -1.782 2.115
Sr 11.603 1.782 6.344
Sr 7.736 -1.397 5.627
Sr 7.736 -2.862 1.397
Sr 11.603 -1.782 2.115
Mg 1.644 0.000 4.229
Mg 6.091 0.000 0.000
Mg 9.380 0.000 0.000
Mg 13.827 0.000 4.229
CELL_PARAMETERS angstrom
7.736 -4.258 0.000
7.736 4.258 0.000
0.000 0.000 8.459
```

As for the crystal system: orthorhombic. As for the formation energy: 0.063 eV/atom. Its space-group type is Cmce.



Entry 2:
Below is an optimized crystal structure of Al2InTc, with properties calculated at the PBE level. Values from VASP.

Quantum ESPRESSO input file:
```
&SYSTEM
  ibrav = 0, nat = 4, ntyp = 3
/
ATOMIC_SPECIES
Al 26.98 Al.upf
In 114.82 In.upf
Tc 98.00 Tc.upf
ATOMIC_POSITIONS angstrom
Al 0.000 0.000 1.265
Al 0.000 0.000 4.580
In 1.683 1.683 2.923
Tc 1.683 1.683 0.000
CELL_PARAMETERS angstrom
3.366 0.000 0.000
0.000 3.366 0.000
0.000 0.000 5.846
```

As for the crystal system: tetragonal. As for the formation energy: -0.155 eV/atom. Its space-group type is P4/mmm.



Entry 3:
Below is an optimized crystal structure of Cs2TbIrO6, with properties calculated at the PBE level. Values from VASP.

Quantum ESPRESSO input file:
```
&SYSTEM
  ibrav = 0, nat = 10, ntyp = 4
/
ATOMIC_SPECIES
Cs 132.91 Cs.upf
Tb 158.93 Tb.upf
Ir 192.22 Ir.upf
O 16.00 O.upf
ATOMIC_POSITIONS angstrom
Cs 0.000 3.850 0.830
Cs 3.334 1.925 4.968
Tb 0.000 0.000 2.899
Ir 0.000 0.000 0.000
O 0.000 1.528 4.604
O -2.010 5.011 4.604
O 1.324 0.764 1.195
O 2.010 5.011 4.604
O 5.344 0.764 1.195
O 3.334 4.246 1.195
CELL_PARAMETERS angstrom
6.668 0.000 0.000
-3.334 5.775 0.000
0.000 0.000 5.799
```

As for the crystal system: trigonal. The uncorrected formation energy is -1.562 eV/atom. Its space-group type is P-3m1.